Material: CaTl2RuO6
Method: DFT, PBE
State: relaxed

Cell: 5.8939 6.2153 6.2153 Å, 120.00 90.00 90.00°
Fractional positions:
Ca 0.5000 0.0000 0.0000
Tl 0.9990 0.3333 0.6667
Tl 0.0010 0.6667 0.3333
Ru 0.0000 0.0000 0.0000
O 0.8072 0.1435 0.2869
O 0.8072 0.1435 0.8565
O 0.8072 0.7131 0.8565
O 0.1928 0.8565 0.1435
O 0.1928 0.2869 0.1435
O 0.1928 0.8565 0.7131

## Properties
As for the space-group type: No. 164. The formation energy from raw total energies comes out at -1.06 eV per atom. Its total magnetization is 0.00 μB per formula unit.